Material: PmMgPd2
Method: DFT, PBE
State: optimized geometry

```
PmMgPd2
1.0
4.8782 0.0000 0.0000
0.0000 4.8782 0.0000
0.0000 0.0000 3.3700
Pm Mg Pd
1 1 2
Direct
0.0000 0.0000 0.0000
0.5000 0.5000 0.0000
0.0000 0.5000 0.5000
0.5000 0.0000 0.5000
```

Calculated values
Formation energy = -0.686 eV/atom
Magnetic moment = 0.000 Bohr magnetons per cell
DOS at the Fermi energy = 1.85 states/eV per cell